5
Lattice="-0.9778 1.2860 -4.5501 -0.9111 -4.6105 -1.1073 -4.6397 0.6343 1.1764" Properties=species:S:1:pos:R:3 comment="PBE PAuCl3, optimized geometry" de_polymorph_ev_per_atom=0.000 volume_a3_per_cell=112.56 raw_formation_energy_ev_per_atom=0.220 dos_at_fermi_per_ev_cell=2.78 e_tot_ev_per_cell=-13.1 pbc="T T T"
Cl -0.4889 0.6430 -2.2750
Cl -2.3198 0.3172 0.5882
Cl -0.4555 -2.3053 -0.5536
Au -3.2643 -1.3451 -2.2405
P 0.0000 0.0000 0.0000